1.
This record from Alexandria describes crystalline FeTcRh2 at its relaxed geometry. The functional is PBE-GGA.

Unit cell a=2.6941 b=3.7872 c=5.3787 alpha=90.00 beta=90.00 gamma=90.00
Last column: nearest neighbours and their distance in Å.
Sites, in units of the cell vectors:
Fe: 0.5000 0.5000 0.7544  6 Rh 2.63-2.72, 4 Tc 2.69, 2 Fe 2.69
Rh: 0.0000 0.0000 0.9825  2 Tc 2.58-2.80, 4 Fe 2.63, 6 Rh 2.69-2.76
Rh: 0.5000 0.5000 0.2608  2 Fe 2.66-2.72, 4 Tc 2.66, 6 Rh 2.69-2.76
Tc: 0.0000 0.0000 0.5023  6 Rh 2.58-2.80, 4 Fe 2.69, 2 Tc 2.69

Results
D(E_F)	0.86	states/eV/atom
magnetic moment	2.4	μB per cell
E_tot	-8.40	eV per atom
E_form	-0.1	eV/f.u.
E above lowest polymorph	0.065	eV per atom



2.
This record from Alexandria describes crystalline FeTc2Rh at its relaxed geometry. The functional is PBE-GGA.

Unit cell a=2.6880 b=2.6880 c=7.5829 alpha=90.00 beta=90.00 gamma=90.00
Last column: nearest neighbours and their distance in Å.
Sites, in units of the cell vectors:
Fe: 0.0000 0.0000 0.4986  4 Tc 2.61, 4 Rh 2.65, 4 Fe 2.69
Rh: 0.5000 0.5000 0.7418  4 Fe 2.65, 4 Rh 2.69, 4 Tc 2.71
Tc: 0.0000 0.0000 0.9967  8 Tc 2.69-2.77, 4 Rh 2.71
Tc: 0.5000 0.5000 0.2629  4 Fe 2.61, 8 Tc 2.69-2.77

Results
D(E_F)	1.12	states/eV/atom
magnetic moment	1.8	μB per cell
E_tot	-9.11	eV per atom
E_form	0.1	eV/f.u.
E above lowest polymorph	0.029	eV per atom



3.
This record from Alexandria describes crystalline FeTcRh2 at its relaxed geometry. The functional is PBE-GGA.

Unit cell a=3.8196 b=3.8202 c=3.7669 alpha=90.00 beta=90.00 gamma=90.00
Last column: nearest neighbours and their distance in Å.
Sites, in units of the cell vectors:
Fe: 0.0000 0.5000 0.5000  8 Rh 2.68, 4 Tc 2.70
Rh: 0.0000 0.0000 0.0000  4 Tc 2.68, 4 Fe 2.68, 4 Rh 2.70
Rh: 0.5000 0.5000 0.0000  4 Fe 2.68, 4 Tc 2.68, 4 Rh 2.70
Tc: 0.5000 0.0000 0.5000  8 Rh 2.68, 4 Fe 2.70

Results
D(E_F)	1.05	states/eV/atom
magnetic moment	1.8	μB per cell
E_tot	-8.38	eV per atom
E_form	0.0	eV/f.u.
E above lowest polymorph	0.080	eV per atom



4.
This record from Alexandria describes crystalline FeTc2Rh at its relaxed geometry. The functional is PBE-GGA.

Unit cell a=8.7884 b=8.7884 c=8.7884 alpha=17.66 beta=17.66 gamma=17.66
Last column: nearest neighbours and their distance in Å.
Sites, in units of the cell vectors:
Fe: 0.2500 0.2500 0.2500  6 Tc 2.60, 6 Fe 2.70
Rh: 0.7500 0.7500 0.7500  6 Rh 2.70, 6 Tc 2.73
Tc: 0.9969 0.9969 0.9969  3 Fe 2.60, 6 Tc 2.70, 3 Rh 2.73
Tc: 0.5031 0.5031 0.5031  3 Fe 2.60, 6 Tc 2.70, 3 Rh 2.73

Results
D(E_F)	0.70	states/eV/atom
magnetic moment	1.2	μB per cell
E_tot	-9.07	eV per atom
E_form	0.3	eV/f.u.
E above lowest polymorph	0.067	eV per atom



5.
This record from Alexandria describes crystalline Fe2Tc2Rh15 at its relaxed geometry. The functional is PBE-GGA.

Unit cell a=6.7476 b=6.7476 c=6.7476 alpha=80.67 beta=80.67 gamma=80.67
Last column: nearest neighbours and their distance in Å.
Sites, in units of the cell vectors:
Fe: 0.7127 0.7127 0.7127  1 Tc 2.72, 12 Rh 2.96-3.00
Fe: 0.2873 0.2873 0.2873  1 Tc 2.72, 12 Rh 2.96-3.00
Tc: 0.9146 0.9146 0.9146  1 Tc 2.30
Tc: 0.0854 0.0854 0.0854  1 Tc 2.30
Rh: 0.0000 0.5000 0.0000  8 Rh 2.51-2.68, 2 Tc 2.75
Rh: 0.0000 0.0000 0.5000  8 Rh 2.51-2.68, 2 Tc 2.75
Rh: 0.5000 0.0000 0.0000  8 Rh 2.51-2.68, 2 Tc 2.75
Rh: 0.3362 0.0000 0.6638  9 Rh 2.65-2.94, 2 Fe 2.96
Rh: 0.6638 0.3362 0.0000  9 Rh 2.65-2.94, 2 Fe 2.96
Rh: 0.0000 0.6638 0.3362  9 Rh 2.65-2.94, 2 Fe 2.96
Rh: 0.3362 0.6638 0.0000  9 Rh 2.65-2.94, 2 Fe 2.96
Rh: 0.0000 0.3362 0.6638  9 Rh 2.65-2.94, 2 Fe 2.96
Rh: 0.6638 0.0000 0.3362  9 Rh 2.65-2.94, 2 Fe 2.96
Rh: 0.3332 0.8366 0.3332  8 Rh 2.51-2.69, 1 Tc 2.74
Rh: 0.3332 0.3332 0.8366  8 Rh 2.51-2.69, 1 Tc 2.74
Rh: 0.8366 0.3332 0.3332  8 Rh 2.51-2.69, 1 Tc 2.74
Rh: 0.6668 0.1634 0.6668  8 Rh 2.51-2.69, 1 Tc 2.74
Rh: 0.6668 0.6668 0.1634  8 Rh 2.51-2.69, 1 Tc 2.74
Rh: 0.1634 0.6668 0.6668  8 Rh 2.51-2.69, 1 Tc 2.74

Results
D(E_F)	1.51	states/eV/atom
magnetic moment	7.4	μB per cell
E_tot	-7.45	eV per atom
E_form	6.4	eV/f.u.



6.
This record from Alexandria describes crystalline FeTc2Rh at its relaxed geometry. The functional is PBE-GGA.

Unit cell a=2.6664 b=2.6664 c=7.5199 alpha=90.00 beta=90.00 gamma=89.99
Last column: nearest neighbours and their distance in Å.
Sites, in units of the cell vectors:
Fe: 0.5000 0.5000 0.2500  8 Tc 2.58, 4 Fe 2.67
Rh: 0.5000 0.5000 0.7500  4 Rh 2.67, 8 Tc 2.75
Tc: 0.0000 0.0000 0.0155  4 Fe 2.58, 4 Tc 2.67, 4 Rh 2.75
Tc: 0.0000 0.0000 0.4845  4 Fe 2.58, 4 Tc 2.67, 4 Rh 2.75

Results
D(E_F)	0.95	states/eV/atom
magnetic moment	0.2	μB per cell
E_tot	-9.13	eV per atom
E_form	0.0	eV/f.u.
E above lowest polymorph	0.001	eV per atom